Entry from Alexandria via LeMat-Bulk: a relaxed structure of KSi2As (GGA-PBE).

Properties
The value obtained for the energy is -4.001 eV per atom. As for the formation energy (no corrections): 0.147 eV/atom.

abc: 3.571 3.571 6.988
angles: 90.00 90.00 93.07
Atoms (fractional coordinates):
1 K 0.000 0.000 0.000
2 Si 0.000 0.000 0.486
3 Si 0.500 0.500 0.332
4 As 0.500 0.500 0.666